The following is a DFT calculation (GGA-PBE) of an optimized crystal structure of KZrBr2.

Properties
Calculated total energy in eV per atom: -3.789
V in Å³/cell: 630
Calculated density in g/cm³: 3.1

Cell lengths 6.311, 6.311, 15.826 Å; angles 90.00, 90.00, 90.00 degrees
Space group I-42d (No. 122)
Inequivalent atoms, fractional coordinates:
K: 0.000 0.000 0.000 [4 per cell]
Zr: 0.000 0.000 0.500 [4 per cell]
Br: 0.176 0.250 0.625 [8 per cell]